Record 1
A relaxed MgIrRu2C crystal. Source: Alexandria via LeMat-Bulk, functional PBE.

Unit cell a=4.076 b=4.076 c=4.062 alpha=90.00 beta=90.00 gamma=90.00
Space group P4/mmm (No. 123)
Inequivalent atoms, fractional coordinates:
Mg: 0.000 0.000 0.000 x1
Ir: 0.500 0.500 0.000 x1
Ru: 0.000 0.500 0.500 x2
C: 0.500 0.500 0.500 x1

Properties
Theoretical density in g/cm³: 10.6
Electronic total energy in eV for the cell shown: -38.2

Record 2
A relaxed HgMo2W crystal. Source: Alexandria via LeMat-Bulk, functional PBE.

Unit cell a=2.775 b=4.410 c=5.695 alpha=90.00 beta=100.11 gamma=90.00
Space group Pm (No. 6)
Inequivalent atoms, fractional coordinates:
Hg: 0.000 0.000 0.000 x1
Mo: 0.558 0.500 0.274 x1
Mo: 0.997 0.000 0.498 x1
W: 0.441 0.500 0.720 x1

Properties
Theoretical density in g/cm³: 13.9
Electronic total energy in eV for the cell shown: -33.0

Record 3
A relaxed SiBiTe2I crystal. Source: Alexandria via LeMat-Bulk, functional PBE.

Unit cell a=5.986 b=5.986 c=5.926 alpha=90.00 beta=90.00 gamma=90.00
Space group P4/mmm (No. 123)
Inequivalent atoms, fractional coordinates:
Si: 0.000 0.000 0.000 x1
Bi: 0.500 0.500 0.500 x1
Te: 0.000 0.500 0.500 x2
I: 0.500 0.500 0.000 x1

Properties
E_form (uncorrected) in eV per atom: 0.837
Theoretical density in g/cm³: 4.8

Record 4
A relaxed LaCr3I crystal. Source: Alexandria via LeMat-Bulk, functional PBE.

Unit cell a=5.050 b=5.050 c=5.050 alpha=90.00 beta=90.00 gamma=90.00
Space group Pm-3m (No. 221)
Inequivalent atoms, fractional coordinates:
La: 0.000 0.000 0.000 x1
Cr: 0.000 0.500 0.500 x3
I: 0.500 0.500 0.500 x1

Properties
E_form (uncorrected) in eV per atom: 1.192
Theoretical density in g/cm³: 5.4

Record 5
A relaxed TcAgN crystal. Source: Alexandria via LeMat-Bulk, functional PBE.

Unit cell a=3.642 b=3.642 c=6.286 alpha=90.00 beta=90.00 gamma=90.00
Space group P4/nmm (No. 129, origin choice 2)
Inequivalent atoms, fractional coordinates:
Tc: 0.250 0.250 0.092 x2
Ag: 0.250 0.750 0.500 x2
N: 0.250 0.250 0.800 x2

Properties
E_form (uncorrected) in eV per atom: 1.039
Theoretical density in g/cm³: 8.8

Record 6
A relaxed Ba2SnGeRh crystal. Source: Alexandria via LeMat-Bulk, functional PBE.

Unit cell a=6.081 b=6.081 c=4.721 alpha=90.00 beta=90.00 gamma=90.00
Space group P4/mmm (No. 123)
Inequivalent atoms, fractional coordinates:
Ba: 0.000 0.500 0.000 x2
Sn: 0.000 0.000 0.500 x1
Ge: 0.500 0.500 0.500 x1
Rh: 0.500 0.500 0.000 x1

Properties
Theoretical density in g/cm³: 5.4
Electronic total energy in eV for the cell shown: -21.5

Record 7
A relaxed TaTi2GaB crystal. Source: Alexandria via LeMat-Bulk, functional PBE.

Unit cell a=4.236 b=4.236 c=4.350 alpha=90.00 beta=90.00 gamma=90.00
Space group P4/mmm (No. 123)
Inequivalent atoms, fractional coordinates:
Ta: 0.000 0.000 0.000 x1
Ti: 0.000 0.500 0.500 x2
Ga: 0.500 0.500 0.000 x1
B: 0.000 0.000 0.500 x1

Properties
Theoretical density in g/cm³: 7.6
Electronic total energy in eV for the cell shown: -38.9

Record 8
A relaxed LaEuLuTh crystal. Source: Alexandria via LeMat-Bulk, functional PBE.

Unit cell a=8.176 b=8.176 c=8.176 alpha=90.00 beta=90.00 gamma=90.00
Space group F-43m (No. 216)
Inequivalent atoms, fractional coordinates:
La: 0.000 0.000 0.000 x4
Eu: 0.250 0.250 0.750 x4
Lu: 0.250 0.250 0.250 x4
Th: 0.000 0.000 0.500 x4

Properties
Theoretical density in g/cm³: 8.5
Electronic total energy in eV for the cell shown: -105.7